# 1
Below is a relaxed structure of La3DyY2Sb6, with properties calculated at the GGA-PBE level.

Unit cell a=7.8183 b=7.8183 c=7.7887 alpha=99.63 beta=99.63 gamma=119.99
With the nearest neighbours (Å) after each atom.
Element x y z (fractional)
La: 0.1668 0.8332 0.5000  6 Sb 3.24
La: 0.8332 0.1668 0.5000  6 Sb 3.24
La: 0.5000 0.5000 0.5000  6 Sb 3.24-3.25
Dy: 0.0000 0.0000 0.0000  6 Sb 3.13
Y: 0.3334 0.6666 0.0000  6 Sb 3.13-3.14
Y: 0.6666 0.3334 0.0000  6 Sb 3.13-3.14
Sb: 0.9211 0.5880 0.7630  1 Dy 3.13, 2 Y 3.13-3.14, 3 La 3.24
Sb: 0.7461 0.7461 0.2371  1 Dy 3.13, 2 Y 3.13, 3 La 3.24-3.25
Sb: 0.0789 0.4120 0.2370  1 Dy 3.13, 2 Y 3.13-3.14, 3 La 3.24
Sb: 0.5880 0.9211 0.7630  1 Dy 3.13, 2 Y 3.13-3.14, 3 La 3.24
Sb: 0.2539 0.2539 0.7629  1 Dy 3.13, 2 Y 3.13, 3 La 3.24-3.25
Sb: 0.4120 0.0789 0.2370  1 Dy 3.13, 2 Y 3.13-3.14, 3 La 3.24

Computed properties:
density of states at the Fermi level	2.13	states/eV per cell
uncorrected energy	-0.43851	Ry/atom
formation energy without anion corrections	-1.21	eV per atom

=====

# 2
Below is a relaxed structure of La3Dy2YSb6, with properties calculated at the GGA-PBE level.

Unit cell a=7.8161 b=7.8161 c=7.7881 alpha=99.62 beta=99.62 gamma=119.99
With the nearest neighbours (Å) after each atom.
Element x y z (fractional)
La: 0.1666 0.8334 0.5000  6 Sb 3.24
La: 0.8334 0.1666 0.5000  6 Sb 3.24
La: 0.5000 0.5000 0.5000  6 Sb 3.24-3.25
Dy: 0.3334 0.6666 0.0000  6 Sb 3.13
Dy: 0.6666 0.3334 0.0000  6 Sb 3.13
Y: 0.0000 0.0000 0.0000  6 Sb 3.13
Sb: 0.9211 0.5874 0.7632  2 Dy 3.13, 1 Y 3.13, 3 La 3.24-3.25
Sb: 0.7453 0.7453 0.2368  2 Dy 3.13, 1 Y 3.13, 3 La 3.24
Sb: 0.0789 0.4126 0.2368  2 Dy 3.13, 1 Y 3.13, 3 La 3.24-3.25
Sb: 0.5874 0.9211 0.7632  2 Dy 3.13, 1 Y 3.13, 3 La 3.24-3.25
Sb: 0.2547 0.2547 0.7632  2 Dy 3.13, 1 Y 3.13, 3 La 3.24
Sb: 0.4126 0.0789 0.2368  2 Dy 3.13, 1 Y 3.13, 3 La 3.24-3.25

Computed properties:
density of states at the Fermi level	2.17	states/eV per cell
uncorrected energy	-0.42665	Ry/atom
formation energy without anion corrections	-1.21	eV per atom

=====

- The lowest density of states at the Fermi level belongs to which entry?
  La3DyY2Sb6